(1)
{
  "formula": "KSi2Ag",
  "functional": "GGA-PBE",
  "state": "relaxed",
  "volume_a3_per_atom": 24.9,
  "formation_energy_uncorrected_ev_per_atom": 0.193,
  "density_g_cm3": 3.38,
  "cell": [[3.914, -0.002, 0.008], [1.956, 3.390, 0.008], [1.948, 1.125, 7.522]],
  "species": ["Ag", "K", "Si", "Si"],
  "fractional_positions": [[0.531, 0.531, 0.407], [0.744, 0.744, 0.767], [0.965, 0.965, 0.106], [0.260, 0.260, 0.220]]
}

***

(2)
{
  "formula": "Li2CdPdN",
  "functional": "GGA-PBE",
  "state": "relaxed",
  "volume_a3_per_atom": 14.2,
  "formation_energy_uncorrected_ev_per_atom": -0.178,
  "density_g_cm3": 5.77,
  "cell": [[4.232, 0.000, 0.000], [0.000, 4.232, 0.000], [0.000, 0.000, 3.965]],
  "species": ["N", "Li", "Li", "Pd", "Cd"],
  "fractional_positions": [[0.000, 0.000, 0.000], [0.000, 0.500, 0.000], [0.500, 0.000, 0.000], [0.000, 0.000, 0.500], [0.500, 0.500, 0.500]]
}